## PmUSn2 (GGA-PBE)

Data for an optimized crystal structure of PmUSn2.

Computed properties:
DOS(E_F) = 6.4 states/eV per cell
formation energy = -0.24 eV/atom
total magnetization = 3.2 μB per formula unit

```
data_PmUSn2
_cell_length_a 5.0041
_cell_length_b 5.0041
_cell_length_c 4.3243
_cell_angle_alpha 90.00
_cell_angle_beta 90.00
_cell_angle_gamma 90.00
_symmetry_space_group_name_H-M 'P 1'
_symmetry_Int_Tables_number 1
loop_
_symmetry_equiv_pos_as_xyz
'x,y,z'
loop_
_atom_site_label
_atom_site_fract_x
_atom_site_fract_y
_atom_site_fract_z
_atom_site_occupancy
Pm1 0.0000 0.0000 0.0000 1
U1 0.5000 0.5000 0.0000 1
Sn1 0.0000 0.5000 0.5000 1
Sn2 0.5000 0.0000 0.5000 1
```